[1]
This record from OQMD describes a geometry-optimized SiTcAg structure. The functional is PBE.

Results
The space group is F-43m (216). For the spin magnetization, the calculation gives 0.0 μB per formula unit. Its crystal system is cubic. As for the energy above the most stable polymorph in this dataset: 0.000 eV/atom. The calculation puts the raw total energy at -6.029 eV/atom.

POSCAR file:
```
SiTcAg
1.0
0.0575 -2.8255 2.9720
-2.4090 0.4355 3.2903
-3.2186 -2.4861 0.5284
Ag Si Tc
1 1 1
direct
0.2500 0.2500 0.2500
0.0000 0.0000 0.0000
0.7500 0.7500 0.7500
```

=====

[2]
This record from OQMD describes a geometry-optimized Si2Tc2Ag structure. The functional is PBE.

Results
The space group is P4/mbm (127). For the spin magnetization, the calculation gives 0.0 μB per formula unit. Its crystal system is tetragonal. The calculation puts the raw total energy at -7.068 eV/atom.

POSCAR file:
```
Si2Tc2Ag
1.0
-6.1635 -0.1162 3.0881
3.0332 -1.5448 5.9959
0.2584 2.9381 0.6263
Ag Si Tc
2 4 4
direct
0.0000 0.0000 0.0000
0.5000 0.5000 0.0000
0.6372 0.1372 0.0000
0.1372 0.3628 0.0000
0.8628 0.6372 0.0000
0.3628 0.8628 0.0000
0.3455 0.1545 0.5000
0.8455 0.3455 0.5000
0.1545 0.6545 0.5000
0.6545 0.8455 0.5000
```

=====

[3]
This record from OQMD describes a geometry-optimized SiAgTe2 structure. The functional is PBE.

Results
The space group is F-43m (216). Its crystal system is cubic. The calculation puts the raw total energy at -3.077 eV/atom.

POSCAR file:
```
SiAgTe2
1.0
2.4982 -0.3168 4.4378
-2.3940 -1.7392 4.1569
1.2176 -4.5672 1.9220
Ag Si Te
1 1 2
direct
0.5000 0.5000 0.5000
0.7500 0.7500 0.7500
0.0000 0.0000 0.0000
0.2500 0.2500 0.2500
```

=====

[4]
This record from OQMD describes a geometry-optimized TlSiAgTe3 structure. The functional is PBE.

Results
The space group is Cmcm (63). Its crystal system is orthorhombic. The calculation puts the raw total energy at -3.356 eV/atom.

POSCAR file:
```
TlSiAgTe3
1.0
7.6154 -1.8681 0.0000
7.6154 1.8681 0.0000
0.0000 0.0000 11.6257
Ag Si Te Tl
2 2 6 2
direct
0.6214 0.6214 0.2500
0.3786 0.3786 0.7500
0.0000 0.0000 0.0000
0.0000 0.0000 0.5000
0.6323 0.6323 0.0152
0.9720 0.9720 0.2500
0.6323 0.6323 0.4848
0.3677 0.3677 0.5152
0.0280 0.0280 0.7500
0.3677 0.3677 0.9848
0.2828 0.2828 0.2500
0.7172 0.7172 0.7500
```

=====

[5]
This record from OQMD describes a geometry-optimized SiAgW2 structure. The functional is PBE.

Results
The space group is F-43m (216). For the spin magnetization, the calculation gives 0.0 μB per formula unit. Its crystal system is cubic. The calculation puts the raw total energy at -7.953 eV/atom.

POSCAR file:
```
SiAgW2
1.0
2.6990 -3.4956 -0.6240
-0.9855 -3.9367 1.8504
-1.3154 -3.4031 -2.5655
Ag Si W
1 1 2
direct
0.2500 0.2500 0.2500
0.5000 0.5000 0.5000
0.0000 0.0000 0.0000
0.7500 0.7500 0.7500
```

=====

[6]
This record from OQMD describes a geometry-optimized YSiAg structure. The functional is PBE.

Results
The space group is Pnma (62). For the spin magnetization, the calculation gives 0.0 μB per formula unit. Its crystal system is orthorhombic. The calculation puts the raw total energy at -5.501 eV/atom.

POSCAR file:
```
YSiAg
1.0
-4.8989 1.9508 4.7667
-2.4746 -3.1492 -1.2544
3.4036 -4.8603 5.4871
Ag Si Y
4 4 4
direct
0.8541 0.7500 0.0597
0.3541 0.7500 0.4403
0.6459 0.2500 0.5597
0.1459 0.2500 0.9403
0.2443 0.7500 0.1217
0.7443 0.7500 0.3783
0.2557 0.2500 0.6217
0.7557 0.2500 0.8783
0.5249 0.2500 0.1846
0.0249 0.2500 0.3154
0.9751 0.7500 0.6846
0.4751 0.7500 0.8154
```

=====

[7]
This record from OQMD describes a geometry-optimized YSiAg structure. The functional is PBE.

Results
The space group is P-62m (189). For the spin magnetization, the calculation gives 0.0 μB per formula unit. Its crystal system is hexagonal. The calculation puts the raw total energy at -5.127 eV/atom.

POSCAR file:
```
YSiAg
1.0
7.6363 0.0000 0.0000
-3.8181 6.6132 0.0000
0.0000 0.0000 3.8388
Ag Si Y
3 3 3
direct
0.6165 0.0000 0.0000
0.3835 0.3835 0.0000
0.0000 0.6165 0.0000
0.0000 0.0000 0.0000
0.6667 0.3333 0.5000
0.3333 0.6667 0.5000
0.2757 0.0000 0.5000
0.0000 0.2757 0.5000
0.7243 0.7243 0.5000
```

=====

[8]
This record from OQMD describes a geometry-optimized YSiAg structure. The functional is PBE.

Results
The space group is P-62m (189). For the spin magnetization, the calculation gives 0.0 μB per formula unit. Its crystal system is hexagonal. The calculation puts the raw total energy at -5.243 eV/atom.

POSCAR file:
```
YSiAg
1.0
-1.0035 2.3972 -6.6173
-3.7749 -5.5310 2.3878
-2.9381 2.6050 1.3893
Ag Si Y
3 3 3
direct
0.6667 0.3333 0.0000
0.3333 0.6667 0.0000
0.0000 0.0000 0.5000
0.2597 0.0000 0.0000
0.0000 0.2597 0.0000
0.7403 0.7403 0.0000
0.5961 0.0000 0.5000
0.4039 0.4039 0.5000
0.0000 0.5961 0.5000
```

=====

Question: The lowest raw total energy belongs to which entry?
Answer: SiAgW2